Hf2CoRuRh after structural relaxation, computed with PBE.

Cell and atoms, written as CIF:
```
data_Hf2CoRuRh
_space_group_name_H-M_alt 'P 4/m m m'
_space_group_IT_number 123
_space_group_name_Hall '-P 4 2'
_cell_length_a 4.864
_cell_length_b 4.864
_cell_length_c 4.392
_cell_angle_alpha 90.00
_cell_angle_beta 90.00
_cell_angle_gamma 90.00
loop_
_atom_site_label
_atom_site_type_symbol
_atom_site_fract_x
_atom_site_fract_y
_atom_site_fract_z
Hf1 Hf 0.000 0.500 0.000
Co1 Co 0.000 0.000 0.500
Ru1 Ru 0.000 0.000 0.000
Rh1 Rh 0.500 0.500 0.500
```

Summary:
* calculated density: 9905 kg/m3
* final energy: -0.593 Ry per atom